The following is a DFT calculation (PBE+U) of a relaxed Y2FeCuO6 crystal.

```
Y2FeCuO6
1.0
5.300 0.000 0.000
0.000 5.640 0.000
-5.237 0.000 7.619
Y Fe Cu O
4 2 2 12
Direct
0.229 0.072 0.249
0.229 0.428 0.749
0.771 0.572 0.251
0.771 0.928 0.751
0.500 0.000 0.000
0.500 0.500 0.500
0.000 0.000 0.500
0.000 0.500 0.000
0.141 0.194 0.945
0.141 0.306 0.445
0.251 0.699 0.943
0.251 0.801 0.443
0.360 0.037 0.751
0.360 0.463 0.251
0.640 0.537 0.749
0.640 0.963 0.249
0.749 0.199 0.557
0.749 0.301 0.057
0.859 0.694 0.555
0.859 0.806 0.055
```

## Properties
- raw total energy (eV/cell) = -150.03
- space group = P2_1/c, No. 14



The following is a DFT calculation (PBE+U) of a relaxed Mn2InF2 crystal.

```
Mn2InF2
1.0
-1.772 1.772 6.705
1.772 -1.772 6.705
1.772 1.772 -6.705
Mn In F
2 1 2
Direct
0.150 0.150 0.000
0.850 0.850 0.000
0.500 0.500 0.000
0.250 0.750 0.500
0.750 0.250 0.500
```

## Properties
- density of states at the Fermi level (states/eV per atom) = 0.216
- raw total energy (eV/cell) = -28.03
- energy relative to the lowest polymorph listed for this composition (meV/atom) = 0.0
- space group = I4/mmm, No. 139